1.
Compound: BaTmZnIn
Source: Alexandria via LeMat-Bulk
Functional: PBE-GGA
Structure: optimized geometry

## Properties
The value obtained for the calculated total energy is -0.1020 Ha/atom. As for the magnetization: 0.0 Bohr magnetons per cell. As for the formation energy: -0.17 eV per atom. As for the space group: No. 216.

abc: 5.555 5.555 5.555
angles: 60.00 60.00 60.00
Element x y z (fractional)
Ba (0.000, 0.000, 0.000)
Tm (0.500, 0.500, 0.500)
Zn (0.750, 0.750, 0.750)
In (0.250, 0.250, 0.250)


2.
Compound: YAlBr
Source: Alexandria via LeMat-Bulk
Functional: PBE-GGA
Structure: optimized geometry

## Properties
The value obtained for the calculated total energy is -0.1473 Ha/atom. Its uncorrected formation energy is -0.05 eV per atom. As for the magnetization: 0.0 Bohr magnetons per cell. As for the space group: No. 216.

abc: 4.827 4.827 4.827
angles: 60.00 60.00 60.00
Element x y z (fractional)
Y (0.000, 0.000, 0.000)
Al (0.500, 0.500, 0.500)
Br (0.750, 0.750, 0.750)


3.
Compound: Li2GaFeN
Source: Alexandria via LeMat-Bulk
Functional: PBE-GGA
Structure: optimized geometry

## Properties
The value obtained for the calculated total energy is -0.1831 Ha/atom. Its uncorrected formation energy is -0.25 eV per atom. As for the magnetization: 0.5 Bohr magnetons per cell. As for the space group: No. 123.

abc: 4.038 4.038 3.540
angles: 90.00 90.00 90.00
Element x y z (fractional)
Li (0.000, 0.500, 0.000)
Li (0.500, 0.000, 0.000)
Ga (0.000, 0.000, 0.500)
Fe (0.500, 0.500, 0.500)
N (0.500, 0.500, 0.000)


4.
Compound: GaPbAuC2
Source: Alexandria via LeMat-Bulk
Functional: PBE-GGA
Structure: optimized geometry

## Properties
The value obtained for the calculated total energy is -0.1163 Ha/atom. As for the magnetization: 1.8 Bohr magnetons per cell. As for the formation energy: 2.53 eV per atom. As for the space group: No. 123.

abc: 4.537 4.537 6.131
angles: 90.00 90.00 90.00
Element x y z (fractional)
Ga (0.000, 0.000, 0.000)
Pb (0.000, 0.000, 0.500)
Au (0.500, 0.500, 0.000)
C (0.000, 0.500, 0.500)
C (0.500, 0.000, 0.500)


5.
Compound: BaNa2S2
Source: Alexandria via LeMat-Bulk
Functional: PBE-GGA
Structure: optimized geometry

## Properties
The value obtained for the calculated total energy is -0.1432 Ha/atom. Its uncorrected formation energy is -1.33 eV per atom. As for the magnetization: 0.0 Bohr magnetons per cell. As for the space group: No. 139.

abc: 7.722 7.722 7.722
angles: 148.34 148.34 45.38
Element x y z (fractional)
Ba (0.000, 0.000, 0.000)
Na (0.250, 0.750, 0.500)
Na (0.750, 0.250, 0.500)
S (0.375, 0.375, 0.000)
S (0.625, 0.625, 0.000)


6.
Compound: Pu2CdNi
Source: Alexandria via LeMat-Bulk
Functional: PBE-GGA
Structure: optimized geometry

## Properties
The value obtained for the calculated total energy is -0.3126 Ha/atom. As for the magnetization: 10.3 Bohr magnetons per cell. As for the formation energy: 0.33 eV per atom. As for the space group: No. 166.

abc: 11.333 11.333 11.333
angles: 14.99 14.99 14.99
Element x y z (fractional)
Pu (0.098, 0.098, 0.098)
Pu (0.902, 0.902, 0.902)
Cd (0.000, 0.000, 0.000)
Ni (0.500, 0.500, 0.500)


7.
Compound: Al3NiPb
Source: Alexandria via LeMat-Bulk
Functional: PBE-GGA
Structure: optimized geometry

## Properties
The value obtained for the calculated total energy is -0.1519 Ha/atom. As for the magnetization: 0.0 Bohr magnetons per cell. As for the formation energy: 0.01 eV per atom. As for the space group: No. 221.

abc: 4.630 4.630 4.630
angles: 90.00 90.00 90.00
Element x y z (fractional)
Al (0.000, 0.000, 0.500)
Al (0.000, 0.500, 0.000)
Al (0.500, 0.000, 0.000)
Ni (0.000, 0.000, 0.000)
Pb (0.500, 0.500, 0.500)


8.
Compound: SmDy2TaN4
Source: Alexandria via LeMat-Bulk
Functional: PBE-GGA
Structure: optimized geometry

## Properties
The value obtained for the calculated total energy is -0.3248 Ha/atom. Its uncorrected formation energy is -1.45 eV per atom. As for the magnetization: 0.0 Bohr magnetons per cell. As for the space group: No. 10.

abc: 5.851 3.374 5.899
angles: 90.00 109.09 90.00
Element x y z (fractional)
Sm (0.000, 0.000, 0.000)
Dy (0.500, 0.000, 0.500)
Dy (0.500, 0.500, 0.000)
Ta (0.000, 0.500, 0.500)
N (0.229, 0.000, 0.723)
N (0.238, 0.500, 0.275)
N (0.762, 0.500, 0.725)
N (0.771, 0.000, 0.277)